1.
Density functional theory data (meta-GGA SCAN) for a PBEsol-optimized structure of TiNbCu2Ni.

The structure belongs to space group P4/mmm (No. 123); the cell edges are 4.446, 4.446 and 4.446 Å and the angles 90.00°, 90.00° and 90.00°. The asymmetric unit holds Ti at (0.000, 0.000, 0.000), Nb at (0.000, 0.000, 0.500), Cu at (0.000, 0.500, 0.000) and Ni at (0.500, 0.500, 0.500).

For the formation energy, the calculation gives 723 kJ/mol of formula units.

***

2.
Density functional theory data (meta-GGA SCAN) for a PBEsol-optimized structure of Nb2CuO6.

The structure belongs to space group Pbcn (No. 60); the cell edges are 14.136, 5.609 and 5.146 Å and the angles 90.00°, 90.00° and 90.00°. The asymmetric unit holds Nb at (0.159, 0.185, 0.211), Cu at (0.000, 0.330, 0.750), O at (0.083, 0.414, 0.349), O at (0.091, 0.102, 0.889) and O at (0.240, 0.129, 0.537).

The calculation puts the uncorrected formation energy at -2.309 eV per atom.

***

3.
Density functional theory data (meta-GGA SCAN) for a PBEsol-optimized structure of NbCu6O8.

The structure belongs to space group Fm-3m (No. 225); the cell edges are 9.117, 9.117 and 9.117 Å and the angles 90.00°, 90.00° and 90.00°. The asymmetric unit holds Nb at (0.000, 0.000, 0.000), Cu at (0.000, 0.250, 0.250) and O at (0.136, 0.136, 0.136).

The calculation puts the uncorrected formation energy at -1.081 eV per atom.

***

4.
Density functional theory data (meta-GGA SCAN) for a PBEsol-optimized structure of Nb3CuO8.

The structure belongs to space group P2_1/c (No. 14); the cell edges are 7.517, 5.055 and 15.309 Å and the angles 90.00°, 107.51° and 90.00°. The asymmetric unit holds Nb at (0.010, 0.239, 0.168), Nb at (0.256, 0.748, 0.576), Nb at (0.484, 0.747, 0.336), Cu at (0.252, 0.245, 0.418), O at (0.039, 0.575, 0.599), O at (0.087, 0.074, 0.284), O at (0.151, 0.598, 0.960), O at (0.226, 0.076, 0.655), O at (0.264, 0.598, 0.346), O at (0.351, 0.082, 0.045), O at (0.413, 0.579, 0.715) and O at (0.490, 0.077, 0.401).

The calculation puts the uncorrected formation energy at -2.438 eV per atom.

***

Question: What is the formula in the first record?
Answer: TiNbCu2Ni